## ZnPt2Rh (SCAN)

Data for ZnPt2Rh at its PBEsol-relaxed geometry.

Cell: 4.7023 4.7023 4.6788 Å, 100.42 100.42 33.91°
Atoms (fractional coordinates):
Zn 0.0000 0.0000 0.0000
Pt 0.2525 0.2525 0.7490
Pt 0.7475 0.7475 0.2510
Rh 0.5000 0.5000 0.5000

Output
crystal system	monoclinic
volume	14.17	Å³/atom
E_tot	-47.1828	eV per atom